[1]
Compound: Zr4CSe5
Source: Alexandria via LeMat-Bulk
Functional: GGA-PBE
Structure: optimized geometry

Unit cell a=3.633 b=7.484 c=8.371 alpha=101.73 beta=102.53 gamma=90.00
Atoms (fractional coordinates):
Zr1 0.353 0.929 0.707
Zr2 0.001 0.782 0.002
Zr3 0.647 0.071 0.293
Zr4 0.999 0.218 0.998
C1 0.500 0.000 0.000
Se1 0.835 0.664 0.670
Se2 0.829 0.183 0.659
Se3 0.171 0.817 0.341
Se4 0.500 0.500 0.000
Se5 0.165 0.336 0.330

- electronic total energy (eV/cell) = -73.12
- space group = No. 12


[2]
Compound: RbBa2TiIn
Source: Alexandria via LeMat-Bulk
Functional: GGA-PBE
Structure: optimized geometry

Unit cell a=6.886 b=5.563 c=6.886 alpha=90.00 beta=90.00 gamma=90.00
Atoms (fractional coordinates):
Ti1 0.000 0.500 0.000
Ba1 0.000 0.000 0.500
Ba2 0.500 0.000 0.000
Rb1 0.500 0.500 0.500
In1 0.000 0.000 0.000

- space group = No. 123
- calculated formation energy (meV/atom) = 407


[3]
Compound: LaDyZnPt
Source: Alexandria via LeMat-Bulk
Functional: GGA-PBE
Structure: optimized geometry

Unit cell a=5.120 b=5.120 c=5.120 alpha=60.00 beta=60.00 gamma=60.00
Atoms (fractional coordinates):
Zn1 0.750 0.750 0.750
La1 0.000 0.000 0.000
Pt1 0.250 0.250 0.250
Dy1 0.500 0.500 0.500

- ΔE to the lowest computed polymorph (meV/atom) = 42
- space group = No. 216
- calculated formation energy (meV/atom) = -710


[4]
Compound: CuAg3Au5
Source: Alexandria via LeMat-Bulk
Functional: GGA-PBE
Structure: optimized geometry

Unit cell a=5.467 b=8.262 c=8.262 alpha=120.00 beta=90.00 gamma=90.00
Atoms (fractional coordinates):
Cu1 0.000 0.000 0.000
Cu2 0.500 0.000 0.000
Ag1 0.750 0.378 0.000
Ag2 0.750 0.622 0.622
Ag3 0.750 0.000 0.378
Ag4 0.250 0.622 0.000
Ag5 0.250 0.378 0.378
Ag6 0.250 0.000 0.622
Au1 0.000 0.333 0.667
Au2 0.500 0.667 0.333
Au3 0.000 0.667 0.333
Au4 0.500 0.333 0.667
Au5 0.750 0.721 0.000
Au6 0.750 0.279 0.279
Au7 0.750 0.000 0.721
Au8 0.250 0.279 0.000
Au9 0.250 0.721 0.721
Au10 0.250 0.000 0.279

- space group = No. 193
- calculated formation energy (meV/atom) = 47


[5]
Compound: Ag2Cl
Source: Alexandria via LeMat-Bulk
Functional: GGA-PBE
Structure: optimized geometry

Unit cell a=6.126 b=6.126 c=6.126 alpha=149.72 beta=149.72 gamma=43.35
Atoms (fractional coordinates):
Ag1 0.168 0.168 0.000
Ag2 0.832 0.832 0.000
Cl1 0.500 0.500 0.000

- ΔE to the lowest computed polymorph (meV/atom) = 146
- space group = No. 139


[6]
Compound: MgSc12In3
Source: Alexandria via LeMat-Bulk
Functional: GGA-PBE
Structure: optimized geometry

Unit cell a=4.528 b=4.528 c=18.208 alpha=90.00 beta=90.00 gamma=90.00
Atoms (fractional coordinates):
Mg1 0.000 0.000 0.000
Sc1 0.500 0.500 0.000
Sc2 0.500 0.500 0.252
Sc3 0.500 0.500 0.500
Sc4 0.500 0.500 0.748
Sc5 0.500 0.000 0.128
Sc6 0.500 0.000 0.376
Sc7 0.500 0.000 0.624
Sc8 0.500 0.000 0.872
Sc9 0.000 0.500 0.128
Sc10 0.000 0.500 0.376
Sc11 0.000 0.500 0.624
Sc12 0.000 0.500 0.872
In1 0.000 0.000 0.251
In2 0.000 0.000 0.500
In3 0.000 0.000 0.749

- space group = No. 123
- calculated formation energy (meV/atom) = -209


[7]
Compound: Te4P3
Source: Alexandria via LeMat-Bulk
Functional: GGA-PBE
Structure: optimized geometry

Unit cell a=5.136 b=5.136 c=7.512 alpha=90.00 beta=90.00 gamma=120.00
Atoms (fractional coordinates):
Te1 0.000 0.000 0.217
Te2 0.000 0.000 0.783
Te3 0.667 0.333 0.500
Te4 0.333 0.667 0.500
P1 0.000 0.500 0.000
P2 0.500 0.500 0.000
P3 0.500 0.000 0.000

- electronic total energy (eV/cell) = -24.51
- space group = No. 191


[8]
Compound: Pr2SmDy2Mg
Source: Alexandria via LeMat-Bulk
Functional: GGA-PBE
Structure: optimized geometry

Unit cell a=6.881 b=6.430 c=10.071 alpha=108.62 beta=109.98 gamma=90.00
Atoms (fractional coordinates):
Pr1 0.990 0.153 0.306
Pr2 0.316 0.653 0.306
Pr3 0.684 0.347 0.694
Pr4 0.010 0.847 0.694
Sm1 0.000 0.750 0.000
Sm2 0.000 0.250 0.000
Dy1 0.498 0.151 0.302
Dy2 0.502 0.849 0.698
Dy3 0.196 0.349 0.698
Dy4 0.804 0.651 0.302
Mg1 0.500 0.750 0.000
Mg2 0.500 0.250 0.000

- space group = No. 72
- calculated formation energy (meV/atom) = 183


[9]
Compound: LiPaCu10
Source: Alexandria via LeMat-Bulk
Functional: GGA-PBE
Structure: optimized geometry

Unit cell a=4.112 b=4.979 c=8.450 alpha=90.00 beta=90.00 gamma=90.00
Atoms (fractional coordinates):
Li1 0.000 0.500 0.500
Pa1 0.000 0.000 0.000
Cu1 0.000 0.000 0.342
Cu2 0.000 0.500 0.819
Cu3 0.000 0.500 0.181
Cu4 0.000 0.000 0.658
Cu5 0.500 0.000 0.500
Cu6 0.500 0.500 0.000
Cu7 0.500 0.246 0.247
Cu8 0.500 0.754 0.753
Cu9 0.500 0.754 0.247
Cu10 0.500 0.246 0.753

- space group = No. 47
- calculated formation energy (meV/atom) = 10


[10]
Compound: Ba2ZnNiHg
Source: Alexandria via LeMat-Bulk
Functional: GGA-PBE
Structure: optimized geometry

Unit cell a=5.948 b=5.948 c=4.715 alpha=90.00 beta=90.00 gamma=90.00
Atoms (fractional coordinates):
Ni1 0.000 0.000 0.000
Zn1 0.000 0.000 0.500
Hg1 0.500 0.500 0.500
Ba1 0.000 0.500 0.000
Ba2 0.500 0.000 0.000

- space group = No. 123
- calculated formation energy (meV/atom) = -187


[11]
Compound: EuHgRh
Source: Alexandria via LeMat-Bulk
Functional: GGA-PBE
Structure: optimized geometry

Unit cell a=3.580 b=4.758 c=4.758 alpha=120.00 beta=90.00 gamma=90.00
Atoms (fractional coordinates):
Eu1 0.667 0.333 0.667
Rh1 0.167 0.000 0.000
Hg1 0.167 0.667 0.333

- ΔE to the lowest computed polymorph (meV/atom) = 0
- space group = No. 187
- calculated formation energy (meV/atom) = -312


[12]
Compound: DyCuRhPb
Source: Alexandria via LeMat-Bulk
Functional: GGA-PBE
Structure: optimized geometry

Unit cell a=4.789 b=4.789 c=4.789 alpha=60.00 beta=60.00 gamma=60.00
Atoms (fractional coordinates):
Pb1 0.500 0.500 0.500
Rh1 0.750 0.750 0.750
Cu1 0.250 0.250 0.250
Dy1 0.000 0.000 0.000

- space group = No. 216
- calculated formation energy (meV/atom) = -341


Number 1: density 5.9 g cm⁻³, total magnetic moment 0.0 μB per cell, V 217 Å³ per cell. Number 2: density 3.3 g cm⁻³, total magnetic moment 2.0 μB per cell, V 264 Å³ per cell. Number 3: density 9.8 g cm⁻³, total magnetic moment 0.0 μB per cell, V 95 Å³ per cell. Number 4: density 14.1 g cm⁻³, total magnetic moment 0.0 μB per cell, V 323 Å³ per cell. Number 5: density 7.2 g cm⁻³, total magnetic moment 0.0 μB per cell, V 58 Å³ per cell. Number 6: density 4.0 g cm⁻³, total magnetic moment 5.5 μB per cell, V 373 Å³ per cell. Number 7: density 5.8 g cm⁻³, total magnetic moment 0.0 μB per cell, V 172 Å³ per cell. Number 8: density 6.6 g cm⁻³, total magnetic moment 0.0 μB per cell, V 394 Å³ per cell. Number 9: density 8.4 g cm⁻³, total magnetic moment 0.0 μB per cell, V 173 Å³ per cell. Number 10: density 6.0 g cm⁻³, total magnetic moment 0.0 μB per cell, V 167 Å³ per cell. Number 11: density 10.8 g cm⁻³, total magnetic moment 6.9 μB per cell, V 70 Å³ per cell. Number 12: density 11.5 g cm⁻³, total magnetic moment 0.0 μB per cell, V 78 Å³ per cell.